Density functional theory data (PBE) for Er4CdPd3 after structural relaxation.

Geometry as POSCAR:
```
Er4CdPd3
1.0
4.991 0.000 0.000
0.000 4.991 0.000
0.000 0.000 7.087
Er Cd Pd
4 1 3
direct
0.000 0.500 0.240 Er
0.000 0.500 0.760 Er
0.500 0.000 0.240 Er
0.500 0.000 0.760 Er
0.000 0.000 0.500 Cd
0.000 0.000 0.000 Pd
0.500 0.500 0.000 Pd
0.500 0.500 0.500 Pd
```

Results
- energy relative to the elements (meV per atom) = -745
- total magnetic moment (μB per formula unit) = 0.00
- space-group type = P4/mmm, No. 123
- DOS at the Fermi energy (states/eV/atom) = 0.782